## SmTc2Ge2 (PBE)

Data for SmTc2Ge2 after structural relaxation.

## Properties
**ΔE_f**: -0.41 eV per atom
**VASP energy**: -7.347 eV/atom
**DOS(E_F)**: 6.57 states/eV/f.u.
**Magnetic moment**: 0.00 μB/f.u.
**E above lowest polymorph**: 71 meV/atom

Cell: 4.1895 4.1895 6.0913 Å, 110.11 110.11 90.00°
Last column: nearest neighbours and their distance in Å.
Element x y z (fractional)
Tc1 0.2500 0.7500 0.5000  4 Ge 2.50
Ge1 0.3779 0.3779 0.7558  4 Tc 2.50, 1 Ge 2.60
Sm1 0.0000 0.0000 0.0000  8 Ge 3.23, 8 Tc 3.39
Ge2 0.6221 0.6221 0.2442  4 Tc 2.50, 1 Ge 2.60
Tc2 0.7500 0.2500 0.5000  4 Ge 2.50